! PBE-GGA AcTbPb4, optimized geometry; values from VASP
&SYSTEM
  ibrav = 0, nat = 6, ntyp = 3
/
ATOMIC_SPECIES
Tb 158.93 Tb.upf
Ac 227.00 Ac.upf
Pb 207.20 Pb.upf
CELL_PARAMETERS angstrom
-6.082 2.026 -1.265
-5.046 -4.054 0.891
-4.189 1.027 4.908
ATOMIC_POSITIONS angstrom
Tb 0.000 0.000 0.000
Ac -3.829 -0.250 1.134
Pb -9.581 -0.626 2.837
Pb -7.478 -1.142 0.372
Pb -7.047 1.410 2.389
Pb -6.527 -1.643 3.472
! * energy of formation from the pure elements: -180.3 meV/atom
! * total moment: 0.747 Bohr magnetons per cell
! * DFT total energy: -4.1090 eV per atom

---

! PBE-GGA BaLaCl2, optimized geometry; values from VASP
&SYSTEM
  ibrav = 0, nat = 4, ntyp = 3
/
ATOMIC_SPECIES
Ba 137.33 Ba.upf
Cl 35.45 Cl.upf
La 138.91 La.upf
CELL_PARAMETERS angstrom
-7.429 -2.894 0.396
-5.075 -6.146 0.452
0.151 0.182 4.159
ATOMIC_POSITIONS angstrom
Ba -9.824 -7.039 4.314
Cl 0.046 0.097 3.645
La -6.414 -4.610 1.998
Cl -2.185 -1.553 1.712
! * energy relative to the elements, uncorrected: -6.1 eV/f.u.
! * total moment: 0.069 Bohr magnetons per cell
! * DFT total energy: -4.1627 eV per atom
! * energy above the lowest structure with this stoichiometry: 0.071 eV/atom

---

! PBE-GGA Tl2GeB, optimized geometry; values from VASP
&SYSTEM
  ibrav = 0, nat = 8, ntyp = 3
/
ATOMIC_SPECIES
Tl 204.38 Tl.upf
Ge 72.64 Ge.upf
B 10.81 B.upf
CELL_PARAMETERS angstrom
6.266 0.000 0.000
0.000 6.266 0.000
3.133 3.133 5.184
ATOMIC_POSITIONS angstrom
Tl 4.241 1.567 1.296
Tl 4.700 5.159 3.888
Ge 6.266 3.133 2.592
B 3.133 3.133 0.000
Tl 7.833 7.374 3.888
Ge 0.000 0.000 0.000
B 3.133 6.266 2.592
Tl 2.026 4.700 1.296
! * energy of formation from the pure elements: 934.7 meV/atom
! * total moment: 0.000 Bohr magnetons per cell
! * DFT total energy: -3.0722 eV per atom
! * energy above the lowest structure with this stoichiometry: 0.000 eV/atom